DFT (PBE-GGA) results for crystalline AlReW2 at its relaxed geometry.

```
AlReW2
1.0
-2.574 0.859 -0.369
0.146 -1.582 2.230
1.669 7.123 4.942
W Al Re
2 1 1
Cartesian
0.833 3.556 2.467 W
0.001 0.006 0.004 W
-0.797 1.419 2.166 Al
0.038 4.981 4.638 Re
```

Values from the calculation:
**D(E_F)**: 0.675 states/eV/atom
**Space-group type**: Cmmm, No. 65
**Raw total energy**: -41.81 eV/cell
**E_form**: 71.5 meV per atom
**Size of the total moment**: 0.000 μB per atom